(1)
The following is a DFT calculation (PBE) of a relaxed structure of HfTi2In.

a b c (Å): 3.0996 3.0996 29.0032
angles (deg): 90.00 90.00 120.00
Space group R3m (No. 160, hexagonal axes)
Unique sites:
1 Hf 0.0000 0.0000 0.0000 [3 per cell]
2 Ti 0.0000 0.0000 0.4152 [3 per cell]
3 Ti 0.0000 0.0000 0.5844 [3 per cell]
4 In 0.0000 0.0000 0.8332 [3 per cell]

Uncorrected energy: -7.116 eV/atom
Total magnetic moment: 0.00 μB per cell
E_form: 4 meV/atom

***

(2)
The following is a DFT calculation (PBE) of a relaxed structure of HfTi2In3.

a b c (Å): 4.957 8.835 5.625
angles (deg): 90.00 90.00 90.00
Space group Pmc2_1 (No. 26)
Unique sites:
1 Hf 0.000 0.082 0.000 [2 per cell]
2 Ti 0.000 0.256 0.529 [2 per cell]
3 Ti 0.500 0.418 0.743 [2 per cell]
4 In 0.000 0.422 0.016 [2 per cell]
5 In 0.500 0.093 0.695 [2 per cell]
6 In 0.500 0.253 0.232 [2 per cell]

Energy above the most stable polymorph in this dataset: 0.000 eV/f.u.
Uncorrected energy: -5.719 eV/atom
Total magnetic moment: 1.31 μB per cell
E_form: -59 meV/atom

***

(3)
The following is a DFT calculation (PBE) of a relaxed structure of HfTi2In.

a b c (Å): 3.125 3.922 6.354
angles (deg): 90.00 90.00 90.00
Space group Pmmm (No. 47)
Unique sites:
1 Hf 0.000 0.000 0.000 [1 per cell]
2 Ti 0.500 0.500 0.246 [2 per cell]
3 In 0.000 0.000 0.500 [1 per cell]

Uncorrected energy: -7.194 eV/atom
Total magnetic moment: 0.00 μB per cell
E_form: -74 meV/atom